1.
Below is crystalline BaLiInO3 at its relaxed geometry, with properties calculated at the GGA-PBE level.

Cell lengths 7.2012, 3.4737, 7.4391 Å; angles 90.00, 107.21, 90.00 degrees
Space group P2_1/m (No. 11)
One atom of each set of equivalent atoms:
1 Ba 0.2044 0.2500 0.2462 [2 per cell]
2 Li 0.0887 0.2500 0.5963 [2 per cell]
3 In 0.3281 0.7500 0.8421 [2 per cell]
4 O 0.1239 0.2500 0.8629 [2 per cell]
5 O 0.1886 0.7500 0.5399 [2 per cell]
6 O 0.4609 0.7500 0.1518 [2 per cell]

Calculated values
The density of states at the Fermi level is 0.000 states/eV/atom. The value obtained for the magnetic moment is 0.0000 μB/atom. As for the formation energy (no corrections): -1976 meV/atom.

***

2.
Below is crystalline TmLuRu at its relaxed geometry, with properties calculated at the GGA-PBE level.

Cell lengths 3.3564, 3.3564, 12.5418 Å; angles 90.00, 90.00, 90.00 degrees
Space group I4mm (No. 107)
One atom of each set of equivalent atoms:
1 Tm 0.0000 0.0000 0.0000 [2 per cell]
2 Lu 0.0000 0.0000 0.2569 [2 per cell]
3 Ru 0.0000 0.0000 0.6298 [2 per cell]

Calculated values
As for the distance to the lowest polymorph of the same formula: 0.000 eV/atom. The density of states at the Fermi level is 0.478 states/eV/atom. The value obtained for the magnetic moment is 0.0000 μB/atom.

***

3.
Below is crystalline ScGaSn4 at its relaxed geometry, with properties calculated at the GGA-PBE level.

Cell lengths 7.4416, 7.4416, 11.1952 Å; angles 90.00, 90.00, 90.00 degrees
Space group I4/mcm (No. 140)
One atom of each set of equivalent atoms:
1 Sc 0.0000 0.0000 0.2500 [4 per cell]
2 Ga 0.0000 0.0000 0.0000 [4 per cell]
3 Sn 0.1488 0.3512 0.1427 [16 per cell]

Calculated values
The density of states at the Fermi level is 0.760 states/eV/atom. The value obtained for the magnetic moment is 0.0000 μB/atom.

***

4.
Below is crystalline Li2In3Hg4 at its relaxed geometry, with properties calculated at the GGA-PBE level.

Cell lengths 12.8279, 4.7248, 9.0291 Å; angles 90.00, 130.05, 90.00 degrees
Space group C2/m (No. 12)
One atom of each set of equivalent atoms:
1 Li 0.1403 0.0000 0.3020 [4 per cell]
2 In 0.0000 0.5000 0.0000 [2 per cell]
3 In 0.1664 0.0000 0.6735 [4 per cell]
4 Hg 0.0674 0.5000 0.3939 [4 per cell]
5 Hg 0.1630 0.0000 0.0047 [4 per cell]

Calculated values
As for the distance to the lowest polymorph of the same formula: 0.002 eV/atom. The density of states at the Fermi level is 0.277 states/eV/atom. The value obtained for the magnetic moment is 0.0000 μB/atom.

***

5.
Below is crystalline CaHfSc2 at its relaxed geometry, with properties calculated at the GGA-PBE level.

Cell lengths 7.4937, 7.4937, 7.4937 Å; angles 90.00, 90.00, 90.00 degrees
Space group Fm-3m (No. 225)
One atom of each set of equivalent atoms:
1 Ca 0.0000 0.0000 0.0000 [4 per cell]
2 Hf 0.0000 0.0000 0.5000 [4 per cell]
3 Sc 0.2500 0.2500 0.2500 [8 per cell]

Calculated values
As for the distance to the lowest polymorph of the same formula: 0.228 eV/atom. The density of states at the Fermi level is 2.315 states/eV/atom. The value obtained for the magnetic moment is 0.6522 μB/atom.

***

6.
Below is crystalline Ni4PdPt at its relaxed geometry, with properties calculated at the GGA-PBE level.

Cell lengths 6.6924, 6.6924, 6.6924 Å; angles 90.00, 90.00, 90.00 degrees
Space group F-43m (No. 216)
One atom of each set of equivalent atoms:
1 Ni 0.1249 0.1249 0.1249 [16 per cell]
2 Pd 0.0000 0.0000 0.5000 [4 per cell]
3 Pt 0.2500 0.2500 0.7500 [4 per cell]

Calculated values
As for the distance to the lowest polymorph of the same formula: 0.048 eV/atom. The density of states at the Fermi level is 2.036 states/eV/atom. The value obtained for the magnetic moment is 0.4774 μB/atom.

***

7.
Below is crystalline RbNF4 at its relaxed geometry, with properties calculated at the GGA-PBE level.

Cell lengths 9.2161, 5.8694, 4.5386 Å; angles 90.00, 119.34, 90.00 degrees
Space group C2/m (No. 12)
One atom of each set of equivalent atoms:
1 Rb 0.0000 0.0000 0.0000 [2 per cell]
2 N 0.0000 0.5000 0.5000 [2 per cell]
3 F 0.1435 0.3020 0.6443 [8 per cell]

Calculated values
As for the distance to the lowest polymorph of the same formula: 0.332 eV/atom. The value obtained for the magnetic moment is 0.3334 μB/atom. As for the formation energy (no corrections): -737 meV/atom.

***

8.
Below is crystalline MnTeCl2 at its relaxed geometry, with properties calculated at the GGA-PBE level.

Cell lengths 13.4189, 3.1341, 6.6111 Å; angles 90.00, 111.41, 90.00 degrees
Space group Cm (No. 8)
One atom of each set of equivalent atoms:
1 Mn 0.0000 0.0000 0.0000 [2 per cell]
2 Te 0.3557 0.0000 0.6461 [2 per cell]
3 Cl 0.1353 0.5000 0.0053 [2 per cell]
4 Cl 0.4545 0.0000 0.2303 [2 per cell]

Calculated values
As for the distance to the lowest polymorph of the same formula: 0.080 eV/atom. The density of states at the Fermi level is 0.722 states/eV/atom. The value obtained for the magnetic moment is 1.0380 μB/atom. As for the formation energy (no corrections): -522 meV/atom.

***

9.
Below is crystalline SrTcH2Ru at its relaxed geometry, with properties calculated at the GGA-PBE level.

Cell lengths 3.7872, 3.7872, 5.8034 Å; angles 90.00, 90.00, 90.00 degrees
Space group P4/mmm (No. 123)
One atom of each set of equivalent atoms:
1 Sr 0.0000 0.0000 0.0000 [1 per cell]
2 Tc 0.0000 0.0000 0.5000 [1 per cell]
3 H 0.0000 0.5000 0.5000 [2 per cell]
4 Ru 0.5000 0.5000 0.0000 [1 per cell]

Calculated values
The density of states at the Fermi level is 0.679 states/eV/atom. The value obtained for the magnetic moment is 0.6461 μB/atom.

***

10.
Below is crystalline TePbI2N at its relaxed geometry, with properties calculated at the GGA-PBE level.

Cell lengths 6.4110, 6.4110, 4.0230 Å; angles 90.00, 90.00, 90.00 degrees
Space group P4/mmm (No. 123)
One atom of each set of equivalent atoms:
1 Te 0.0000 0.0000 0.0000 [1 per cell]
2 Pb 0.5000 0.5000 0.5000 [1 per cell]
3 I 0.0000 0.5000 0.0000 [2 per cell]
4 N 0.0000 0.0000 0.5000 [1 per cell]

Calculated values
As for the distance to the lowest polymorph of the same formula: 0.000 eV/atom. The density of states at the Fermi level is 0.663 states/eV/atom. The value obtained for the magnetic moment is 0.0000 μB/atom. As for the formation energy (no corrections): 541 meV/atom.

***

11.
Below is crystalline NaBi3N at its relaxed geometry, with properties calculated at the GGA-PBE level.

Cell lengths 5.0390, 5.0390, 5.0390 Å; angles 90.00, 90.00, 90.00 degrees
Space group Pm-3m (No. 221)
One atom of each set of equivalent atoms:
1 Na 0.0000 0.0000 0.0000 [1 per cell]
2 Bi 0.0000 0.5000 0.5000 [3 per cell]
3 N 0.5000 0.5000 0.5000 [1 per cell]

Calculated values
As for the distance to the lowest polymorph of the same formula: 0.000 eV/atom. The density of states at the Fermi level is 0.668 states/eV/atom. The value obtained for the magnetic moment is 0.0000 μB/atom. As for the formation energy (no corrections): 372 meV/atom.

***

12.
Below is crystalline Fe2HgP at its relaxed geometry, with properties calculated at the GGA-PBE level.

Cell lengths 2.8116, 2.8116, 6.7429 Å; angles 90.00, 90.00, 90.00 degrees
Space group P4/mmm (No. 123)
One atom of each set of equivalent atoms:
1 Fe 0.0000 0.0000 0.1807 [2 per cell]
2 Hg 0.5000 0.5000 0.5000 [1 per cell]
3 P 0.5000 0.5000 0.0000 [1 per cell]

Calculated values
As for the distance to the lowest polymorph of the same formula: 0.024 eV/atom. The density of states at the Fermi level is 0.814 states/eV/atom. The value obtained for the magnetic moment is 0.5193 μB/atom.

***

Q: Which final energy values were calculated for the entries above? A: -66.6; -39.1; -104.8; -29.2; -92.8; -136.8; -42.4; -36.2; -21.1; -15.6; -19.4; -22.4, in eV/cell.